Entry from Alexandria via LeMat-Bulk: an optimized crystal structure of MnCuI2O (PBE+U).

Its energy relative to the lowest polymorph listed for this composition is 0.000 eV per atom. For the density of states at the Fermi level, the calculation gives 3.79 states/eV/f.u. The value obtained for the theoretical density is 5.33 g cm⁻³.

a b c (Å): 5.729 5.729 3.689
angles (deg): 90.00 90.00 90.00
Each line ends with the local moment (μB).
Positions (direct):
Mn1 0.000 0.000 0.000  4.06
O1 0.000 0.000 0.500  -0.08
I1 0.000 0.500 0.000  -0.05
I2 0.500 0.000 0.000  -0.05
Cu1 0.500 0.500 0.500  -0.01